# 1
{"formula": "Ce2PdPt", "functional": "GGA-PBE", "state": "relaxed", "spacegroup": "No. 11", "m_tot_mub_per_fu": 1.40, "cell": [[5.853, 0.000, 0.000], [0.000, 4.462, 0.000], [-2.507, 0.000, 7.246]], "species": ["Ce", "Ce", "Ce", "Ce", "Pd", "Pd", "Pt", "Pt"], "fractional_positions": [[0.225, 0.250, 0.434], [0.229, 0.250, 0.930], [0.771, 0.750, 0.070], [0.775, 0.750, 0.566], [0.315, 0.750, 0.205], [0.685, 0.250, 0.795], [0.315, 0.750, 0.704], [0.685, 0.250, 0.296]]}

***

# 2
{"formula": "CePd8Pt2", "functional": "GGA-PBE", "state": "relaxed", "spacegroup": "No. 12", "m_tot_mub_per_fu": 0.00, "cell": [[7.250, -2.033, 0.000], [7.250, 2.033, 0.000], [-1.554, 0.000, 6.083]], "species": ["Ce", "Pd", "Pd", "Pd", "Pd", "Pd", "Pd", "Pd", "Pd", "Pt", "Pt"], "fractional_positions": [[0.000, 0.000, 0.000], [0.092, 0.092, 0.457], [0.185, 0.185, 0.911], [0.363, 0.363, 0.812], [0.451, 0.451, 0.275], [0.549, 0.549, 0.725], [0.637, 0.637, 0.188], [0.815, 0.815, 0.089], [0.908, 0.908, 0.543], [0.271, 0.271, 0.365], [0.729, 0.729, 0.635]]}

***

| no. | final energy (eV/atom) | energy of formation from the pure elements (meV/atom) |
| --- | --- | --- |
| 1 | -6.664 | -889 |
| 2 | -5.754 | -340 |